Record 1
# ThAg2Pd (PBE, relaxed)
data_ThAg2Pd
_symmetry_space_group_name_H-M 'P 1'
_symmetry_Int_Tables_number 1
_cell_length_a 3.114
_cell_length_b 3.114
_cell_length_c 10.724
_cell_angle_alpha 81.65
_cell_angle_beta 81.65
_cell_angle_gamma 60.00
loop_
_symmetry_equiv_pos_as_xyz
'x,y,z'
loop_
_atom_site_label
_atom_site_type_symbol
_atom_site_fract_x
_atom_site_fract_y
_atom_site_fract_z
Pd1 Pd 0.500 0.500 0.500
Th1 Th 0.000 0.000 0.000
Ag1 Ag 0.902 0.902 0.293
Ag2 Ag 0.098 0.098 0.707
# * energy above the most stable polymorph in this dataset: 16.27 kcal/mol of atoms
# * ΔE_f: 0.337 eV/atom
# * SG: No. 166

---

Record 2
# Th4AgPd3 (PBE, relaxed)
data_Th4AgPd3
_symmetry_space_group_name_H-M 'P 1'
_symmetry_Int_Tables_number 1
_cell_length_a 3.942
_cell_length_b 4.416
_cell_length_c 11.614
_cell_angle_alpha 90.00
_cell_angle_beta 90.00
_cell_angle_gamma 90.00
loop_
_symmetry_equiv_pos_as_xyz
'x,y,z'
loop_
_atom_site_label
_atom_site_type_symbol
_atom_site_fract_x
_atom_site_fract_y
_atom_site_fract_z
Th1 Th 0.500 0.500 0.356
Th2 Th 0.500 0.000 0.632
Th3 Th 0.000 0.500 0.858
Th4 Th 0.000 0.000 0.157
Pd1 Pd 0.000 0.500 0.596
Pd2 Pd 0.000 0.000 0.428
Pd3 Pd 0.500 0.000 0.901
Ag1 Ag 0.500 0.500 0.071
# * ΔE_f: -0.558 eV/atom
# * SG: No. 25

---

Record 3
# ThAg2Pd9 (PBE, relaxed)
data_ThAg2Pd9
_symmetry_space_group_name_H-M 'P 1'
_symmetry_Int_Tables_number 1
_cell_length_a 4.145
_cell_length_b 4.145
_cell_length_c 11.832
_cell_angle_alpha 90.00
_cell_angle_beta 90.00
_cell_angle_gamma 90.00
loop_
_symmetry_equiv_pos_as_xyz
'x,y,z'
loop_
_atom_site_label
_atom_site_type_symbol
_atom_site_fract_x
_atom_site_fract_y
_atom_site_fract_z
Pd1 Pd 0.500 0.000 0.825
Pd2 Pd 0.000 0.500 0.175
Pd3 Pd 0.000 0.500 0.500
Pd4 Pd 0.500 0.000 0.500
Pd5 Pd 0.500 0.500 0.338
Pd6 Pd 0.500 0.000 0.175
Pd7 Pd 0.500 0.500 0.000
Pd8 Pd 0.500 0.500 0.662
Pd9 Pd 0.000 0.500 0.825
Th1 Th 0.000 0.000 0.000
Ag1 Ag 0.000 0.000 0.659
Ag2 Ag 0.000 0.000 0.341
# * ΔE_f: -0.333 eV/atom
# * SG: No. 123

---

Record 4
# Th2AgPd (PBE, relaxed)
data_Th2AgPd
_symmetry_space_group_name_H-M 'P 1'
_symmetry_Int_Tables_number 1
_cell_length_a 3.636
_cell_length_b 3.636
_cell_length_c 7.591
_cell_angle_alpha 90.00
_cell_angle_beta 90.00
_cell_angle_gamma 90.00
loop_
_symmetry_equiv_pos_as_xyz
'x,y,z'
loop_
_atom_site_label
_atom_site_type_symbol
_atom_site_fract_x
_atom_site_fract_y
_atom_site_fract_z
Pd1 Pd 0.500 0.500 0.000
Th1 Th 0.000 0.000 0.234
Th2 Th 0.000 0.000 0.766
Ag1 Ag 0.500 0.500 0.500
# * energy above the most stable polymorph in this dataset: 0.00 kcal/mol of atoms
# * ΔE_f: -0.341 eV/atom
# * SG: No. 123

---

Record 5
# Th2AgPd9 (PBE, relaxed)
data_Th2AgPd9
_symmetry_space_group_name_H-M 'P 1'
_symmetry_Int_Tables_number 1
_cell_length_a 4.200
_cell_length_b 4.200
_cell_length_c 12.165
_cell_angle_alpha 90.00
_cell_angle_beta 90.00
_cell_angle_gamma 90.00
loop_
_symmetry_equiv_pos_as_xyz
'x,y,z'
loop_
_atom_site_label
_atom_site_type_symbol
_atom_site_fract_x
_atom_site_fract_y
_atom_site_fract_z
Pd1 Pd 0.000 0.500 0.840
Pd2 Pd 0.500 0.000 0.160
Pd3 Pd 0.500 0.500 0.332
Pd4 Pd 0.500 0.500 0.668
Pd5 Pd 0.000 0.500 0.160
Pd6 Pd 0.500 0.500 0.000
Pd7 Pd 0.000 0.500 0.500
Pd8 Pd 0.500 0.000 0.500
Pd9 Pd 0.500 0.000 0.840
Ag1 Ag 0.000 0.000 0.000
Th1 Th 0.000 0.000 0.321
Th2 Th 0.000 0.000 0.679
# * ΔE_f: -0.670 eV/atom
# * SG: No. 123

---

Record 6
# ThAgPd3 (PBE, relaxed)
data_ThAgPd3
_symmetry_space_group_name_H-M 'P 1'
_symmetry_Int_Tables_number 1
_cell_length_a 5.129
_cell_length_b 5.847
_cell_length_c 7.239
_cell_angle_alpha 106.59
_cell_angle_beta 110.75
_cell_angle_gamma 90.00
loop_
_symmetry_equiv_pos_as_xyz
'x,y,z'
loop_
_atom_site_label
_atom_site_type_symbol
_atom_site_fract_x
_atom_site_fract_y
_atom_site_fract_z
Pd1 Pd 0.001 0.737 0.003
Pd2 Pd 0.196 0.674 0.392
Pd3 Pd 0.611 0.922 0.221
Pd4 Pd 0.389 0.078 0.779
Pd5 Pd 0.804 0.326 0.608
Pd6 Pd 0.999 0.263 0.997
Ag1 Ag 0.593 0.419 0.186
Ag2 Ag 0.407 0.581 0.814
Th1 Th 0.814 0.831 0.627
Th2 Th 0.186 0.169 0.373
# * ΔE_f: -0.541 eV/atom
# * SG: No. 12

---

Record 7
# Th2AgPd3 (PBE, relaxed)
data_Th2AgPd3
_symmetry_space_group_name_H-M 'P 1'
_symmetry_Int_Tables_number 1
_cell_length_a 3.877
_cell_length_b 7.524
_cell_length_c 17.864
_cell_angle_alpha 90.00
_cell_angle_beta 90.00
_cell_angle_gamma 90.00
loop_
_symmetry_equiv_pos_as_xyz
'x,y,z'
loop_
_atom_site_label
_atom_site_type_symbol
_atom_site_fract_x
_atom_site_fract_y
_atom_site_fract_z
Pd1 Pd 0.750 0.218 0.051
Pd2 Pd 0.250 0.782 0.949
Pd3 Pd 0.750 0.919 0.840
Pd4 Pd 0.750 0.299 0.810
Pd5 Pd 0.250 0.282 0.551
Pd6 Pd 0.250 0.081 0.160
Pd7 Pd 0.250 0.581 0.340
Pd8 Pd 0.750 0.718 0.449
Pd9 Pd 0.250 0.201 0.310
Pd10 Pd 0.750 0.799 0.690
Pd11 Pd 0.750 0.419 0.660
Pd12 Pd 0.250 0.701 0.190
Th1 Th 0.250 0.160 0.929
Th2 Th 0.750 0.390 0.207
Th3 Th 0.250 0.610 0.793
Th4 Th 0.750 0.840 0.071
Th5 Th 0.250 0.110 0.707
Th6 Th 0.750 0.890 0.293
Th7 Th 0.250 0.660 0.571
Th8 Th 0.750 0.340 0.429
Ag1 Ag 0.750 0.015 0.561
Ag2 Ag 0.250 0.985 0.439
Ag3 Ag 0.250 0.485 0.061
Ag4 Ag 0.750 0.515 0.939
# * ΔE_f: -0.704 eV/atom
# * SG: No. 62

---

Record 8
# ThAgPd2 (PBE, relaxed)
data_ThAgPd2
_symmetry_space_group_name_H-M 'P 1'
_symmetry_Int_Tables_number 1
_cell_length_a 4.879
_cell_length_b 4.879
_cell_length_c 4.879
_cell_angle_alpha 60.00
_cell_angle_beta 60.00
_cell_angle_gamma 60.00
loop_
_symmetry_equiv_pos_as_xyz
'x,y,z'
loop_
_atom_site_label
_atom_site_type_symbol
_atom_site_fract_x
_atom_site_fract_y
_atom_site_fract_z
Ag1 Ag 0.500 0.500 0.500
Pd1 Pd 0.750 0.750 0.750
Pd2 Pd 0.250 0.250 0.250
Th1 Th 0.000 0.000 0.000
# * energy above the most stable polymorph in this dataset: 0.00 kcal/mol of atoms
# * ΔE_f: -0.559 eV/atom
# * SG: No. 225

---

no.,magnetization (μB per cell)
1,0.0
2,0.0
3,0.0
4,0.0
5,0.0
6,0.0
7,0.0
8,0.0